Entry 1:
Here is crystalline ZrBeCu2 at its relaxed geometry from the Alexandria database. Energies are from PBE.

- ΔE_f (meV/atom) = -49
- space group = P4/mmm (123)

a = 2.8779 Å, b = 2.8779 Å, c = 6.5586 Å
α = 90.00°, β = 90.00°, γ = 90.00°
Last column: nearest neighbours and their distance in Å.
Positions (direct):
Be (0.5000, 0.5000, 0.7500)  8 Cu 2.39
Cu (0.0000, 0.0000, 0.9408)  4 Be 2.39, 1 Cu 2.50
Cu (0.0000, 0.0000, 0.5592)  4 Be 2.39, 1 Cu 2.50
Zr (0.5000, 0.5000, 0.2500)  8 Cu 2.87, 4 Zr 2.88


Entry 2:
Here is crystalline ZrBe2Cu at its relaxed geometry from the Alexandria database. Energies are from PBE.

- ΔE_f (meV/atom) = 141
- space group = Pmmm (47)

a = 3.9542 Å, b = 3.9861 Å, c = 5.2882 Å
α = 41.13°, β = 90.00°, γ = 90.00°
Last column: nearest neighbours and their distance in Å.
Positions (direct):
Be (0.0000, 0.0000, 0.0000)  4 Cu 2.63, 4 Zr 2.64-2.65, 4 Be 2.81
Be (0.5000, 0.5000, 0.0000)  4 Zr 2.63, 4 Cu 2.64-2.65, 4 Be 2.81
Cu (0.5000, 0.5000, 0.5000)  8 Be 2.63-2.65, 4 Zr 2.81
Zr (0.0000, 0.0000, 0.5000)  8 Be 2.63-2.65, 4 Cu 2.81


Entry 3:
Here is crystalline ZrBe2Cu3 at its relaxed geometry from the Alexandria database. Energies are from PBE.

- ΔE_f (meV/atom) = -169
- space group = P6/mmm (191)

a = 3.6079 Å, b = 8.4559 Å, c = 8.4559 Å
α = 120.00°, β = 90.00°, γ = 90.00°
Last column: nearest neighbours and their distance in Å.
Positions (direct):
Zr (0.5000, 0.0000, 0.0000)  6 Be 2.78, 12 Cu 3.05
Zr (0.0000, 0.6667, 0.3333)  6 Be 2.77, 12 Cu 3.01-3.04
Zr (0.0000, 0.3333, 0.6667)  6 Be 2.77, 12 Cu 3.01-3.04
Be (0.5000, 0.8099, 0.1901)  6 Cu 2.28-2.29
Be (0.5000, 0.3802, 0.1901)  6 Cu 2.28-2.29
Be (0.5000, 0.8099, 0.6198)  6 Cu 2.28-2.29
Be (0.5000, 0.1901, 0.8099)  6 Cu 2.28-2.29
Be (0.5000, 0.6198, 0.8099)  6 Cu 2.28-2.29
Be (0.5000, 0.1901, 0.3802)  6 Cu 2.28-2.29
Cu (0.5000, 0.5000, 0.5000)  4 Be 2.29, 4 Cu 2.52
Cu (0.5000, 0.0000, 0.5000)  4 Be 2.29, 4 Cu 2.52
Cu (0.5000, 0.5000, 0.0000)  4 Be 2.29, 4 Cu 2.52
Cu (0.0000, 0.7086, 0.7086)  4 Be 2.28, 4 Cu 2.46-2.52
Cu (0.0000, 0.0000, 0.2914)  4 Be 2.28, 4 Cu 2.46-2.52
Cu (0.0000, 0.2914, 0.0000)  4 Be 2.28, 4 Cu 2.46-2.52
Cu (0.0000, 0.2914, 0.2914)  4 Be 2.28, 4 Cu 2.46-2.52
Cu (0.0000, 0.0000, 0.7086)  4 Be 2.28, 4 Cu 2.46-2.52
Cu (0.0000, 0.7086, 0.0000)  4 Be 2.28, 4 Cu 2.46-2.52


Entry 4:
Here is crystalline ZrBeCu2 at its relaxed geometry from the Alexandria database. Energies are from PBE.

- ΔE_f (meV/atom) = 63
- space group = Cm (8)

a = 4.2366 Å, b = 4.2366 Å, c = 5.2978 Å
α = 79.01°, β = 79.01°, γ = 37.80°
Last column: nearest neighbours and their distance in Å.
Positions (direct):
Be (0.2637, 0.2637, 0.1560)  5 Cu 2.28-2.40
Cu (0.9923, 0.9923, 0.0287)  3 Be 2.28-2.40, 3 Cu 2.48-2.51
Cu (0.7387, 0.7387, 0.8161)  2 Be 2.30, 3 Cu 2.48-2.51
Zr (0.5054, 0.5054, 0.4991)  2 Zr 2.74, 5 Cu 2.75-2.87, 3 Be 2.82-2.91


Entry 5:
Here is crystalline Zr4BeCu at its relaxed geometry from the Alexandria database. Energies are from PBE.

- ΔE_f (meV/atom) = -89
- space group = I422 (97)

a = 5.4098 Å, b = 5.4098 Å, c = 5.4098 Å
α = 101.07°, β = 101.07°, γ = 128.03°
Last column: nearest neighbours and their distance in Å.
Positions (direct):
Zr (0.5938, 0.0938, 0.1875)  2 Cu 2.85, 2 Be 2.85, 3 Zr 2.99-3.04
Zr (0.9062, 0.4062, 0.8125)  2 Be 2.85, 2 Cu 2.85, 3 Zr 2.99-3.04
Zr (0.0938, 0.9062, 0.5000)  2 Cu 2.85, 2 Be 2.85, 3 Zr 2.99-3.04
Zr (0.4062, 0.5938, 0.5000)  2 Be 2.85, 2 Cu 2.85, 3 Zr 2.99-3.04
Be (0.0000, 0.0000, 0.0000)  2 Cu 2.37
Cu (0.5000, 0.5000, 0.0000)  2 Be 2.37


Entry 6:
Here is crystalline Zr2BeCu at its relaxed geometry from the Alexandria database. Energies are from PBE.

- ΔE_f (meV/atom) = -104
- space group = P4/mmm (123)

a = 3.1638 Å, b = 3.1660 Å, c = 6.6590 Å
α = 90.00°, β = 90.00°, γ = 90.00°
Last column: nearest neighbours and their distance in Å.
Positions (direct):
Be (0.5000, 0.5000, 0.2500)  8 Zr 2.75
Cu (0.5000, 0.5000, 0.7500)  8 Zr 2.83, 4 Cu 3.16-3.17
Zr (0.0000, 0.0000, 0.0104)  4 Be 2.75, 4 Cu 2.83
Zr (0.0000, 0.0000, 0.4896)  4 Be 2.75, 4 Cu 2.83